{"formula": "BaCa2Mn", "functional": "meta-GGA SCAN", "state": "PBEsol geometry", "ef_ev_per_atom": 0.21, "magmom_total_mub_per_atom": 1.145, "crystal_system": "cubic", "polymorph_energy_mev_per_atom": 80.8, "total_energy_ev_per_cell": -76.27, "lattice": [[5.7200, 0.0000, 0.0000], [2.8600, 4.9537, 0.0000], [2.8600, 1.6512, 4.6704]], "species": ["Ca", "Ca", "Ba", "Mn"], "fractional_positions": [[0.2500, 0.2500, 0.2500], [0.7500, 0.7500, 0.7500], [0.5000, 0.5000, 0.5000], [0.0000, 0.0000, 0.0000]]}

{"formula": "BaCaMn", "functional": "meta-GGA SCAN", "state": "PBEsol geometry", "ef_ev_per_atom": 0.36, "magmom_total_mub_per_atom": 1.359, "crystal_system": "trigonal", "polymorph_energy_mev_per_atom": 0.0, "total_energy_ev_per_cell": -66.39, "lattice": [[-2.8959, 1.3343, 2.0106], [0.6073, -4.1589, 3.6347], [2.7316, 4.7782, 0.7635]], "species": ["Ba", "Ca", "Mn"], "fractional_positions": [[0.0089, 0.0000, 0.0000], [0.5664, 0.3333, 0.6667], [0.4247, 0.6667, 0.3333]]}

{"formula": "BaCa2MnSe", "functional": "meta-GGA SCAN", "state": "PBEsol geometry", "formation_energy_uncorrected_kj_per_mol_atoms": 93.9, "magmom_total_mub_per_atom": 0.236, "crystal_system": "tetragonal", "total_energy_ev_per_cell": -92.35, "lattice": [[-2.5004, 3.7022, 1.4031], [-4.8728, -3.3957, 0.2759], [1.2356, -1.3128, 5.6658]], "species": ["Ba", "Ca", "Mn", "Se", "Ca"], "fractional_positions": [[0.0000, 0.0000, 0.0000], [0.0000, 0.0000, 0.5000], [0.5000, 0.0000, 0.0000], [0.5000, 0.5000, 0.5000], [0.0000, 0.5000, 0.0000]]}

{"formula": "BaCa2Mo", "functional": "meta-GGA SCAN", "state": "PBEsol geometry", "ef_ev_per_atom": 0.76, "magmom_total_mub_per_atom": 0.650, "crystal_system": "orthorhombic", "polymorph_energy_mev_per_atom": 53.8, "total_energy_ev_per_cell": -90.74, "lattice": [[3.7163, 0.0000, 0.0000], [0.0000, 5.8361, 0.0000], [-1.8582, -2.9180, 6.0827]], "species": ["Ba", "Ca", "Ca", "Mo"], "fractional_positions": [[0.2005, 0.2005, 0.4010], [0.0010, 0.5010, 0.0019], [0.8031, 0.8031, 0.6063], [0.4954, 0.9954, 0.9907]]}

{"formula": "BaCa2Mo", "functional": "meta-GGA SCAN", "state": "PBEsol geometry", "ef_ev_per_atom": 0.91, "magmom_total_mub_per_atom": 0.837, "crystal_system": "monoclinic", "polymorph_energy_mev_per_atom": 206.6, "total_energy_ev_per_cell": -90.12, "lattice": [[-1.1639, 2.4982, 2.2414], [0.8081, -4.8004, 4.1396], [5.5119, 2.8269, -2.2884]], "species": ["Mo", "Ba", "Ca", "Ca"], "fractional_positions": [[0.5000, 0.0000, 0.0000], [0.0000, 0.5000, 0.0000], [0.0000, 0.0000, 0.5000], [0.5000, 0.5000, 0.5000]]}

{"formula": "BaCaMo2", "functional": "meta-GGA SCAN", "state": "PBEsol geometry", "ef_ev_per_atom": 0.98, "magmom_total_mub_per_atom": 0.002, "crystal_system": "monoclinic", "total_energy_ev_per_cell": -115.08, "lattice": [[3.0217, 0.0000, -0.0188], [0.0000, 5.1679, 0.0000], [-0.3304, 0.0000, 6.7974]], "species": ["Mo", "Ba", "Mo", "Ca"], "fractional_positions": [[0.8768, 0.0000, 0.8451], [0.5000, 0.5000, 0.5000], [0.1232, 0.0000, 0.1549], [0.5000, 0.5000, 0.0000]]}

{"formula": "Ba2CaMo", "functional": "meta-GGA SCAN", "state": "PBEsol geometry", "ef_ev_per_atom": 0.81, "magmom_total_mub_per_atom": 0.965, "crystal_system": "cubic", "total_energy_ev_per_cell": -120.42, "lattice": [[5.8027, 0.0000, 0.0000], [2.9013, 5.0253, 0.0000], [2.9013, 1.6751, 4.7379]], "species": ["Ca", "Mo", "Ba", "Ba"], "fractional_positions": [[0.5000, 0.5000, 0.5000], [0.2500, 0.2500, 0.2500], [0.7500, 0.7500, 0.7500], [0.0000, 0.0000, 0.0000]]}

{"formula": "BaCa2Mo", "functional": "meta-GGA SCAN", "state": "PBEsol geometry", "ef_ev_per_atom": 0.70, "magmom_total_mub_per_atom": 0.669, "crystal_system": "tetragonal", "polymorph_energy_mev_per_atom": 0.0, "total_energy_ev_per_cell": -90.95, "lattice": [[3.7366, 0.0000, 0.0000], [0.0000, 3.7366, 0.0000], [0.0000, 0.0000, 9.5918]], "species": ["Ca", "Ba", "Mo", "Ca"], "fractional_positions": [[0.0000, 0.0000, 0.0271], [0.5000, 0.5000, 0.6932], [0.0000, 0.0000, 0.4746], [0.5000, 0.5000, 0.3050]]}

{"formula": "BaCaSbMo2", "functional": "meta-GGA SCAN", "state": "PBEsol geometry", "formation_energy_uncorrected_kj_per_mol_atoms": 97.8, "magmom_total_mub_per_atom": 0.783, "crystal_system": "tetragonal", "total_energy_ev_per_cell": -151.18, "lattice": [[5.0768, 0.0000, 0.0000], [0.0000, 5.0768, 0.0000], [0.0000, 0.0000, 5.6359]], "species": ["Ba", "Mo", "Ca", "Sb", "Mo"], "fractional_positions": [[0.5000, 0.5000, 0.5000], [0.5000, 0.0000, 0.0000], [0.0000, 0.0000, 0.5000], [0.0000, 0.0000, 0.0000], [0.0000, 0.5000, 0.0000]]}

{"formula": "BaCaN2", "functional": "meta-GGA SCAN", "state": "PBEsol geometry", "formation_energy_uncorrected_kj_per_mol_atoms": -13.9, "magmom_total_mub_per_atom": 0.500, "crystal_system": "tetragonal", "total_energy_ev_per_cell": -136.74, "lattice": [[-1.9044, -0.5179, -5.0976], [5.0376, -1.1829, -1.7618], [-2.6220, -5.1371, 4.4323]], "species": ["Ca", "N", "Ba", "N", "Ca", "N", "N", "Ba"], "fractional_positions": [[0.5000, 0.5000, 0.0000], [0.8310, 0.3750, 0.2500], [0.2500, 0.7500, 0.5000], [0.1250, 0.1690, 0.7500], [0.7500, 0.2500, 0.5000], [0.6250, 0.5810, 0.7500], [0.4190, 0.8750, 0.2500], [0.0000, 0.0000, 0.0000]]}

{"formula": "Ba14Na7CaN6", "functional": "meta-GGA SCAN", "state": "PBEsol geometry", "formation_energy_uncorrected_kj_per_mol_atoms": -39.8, "magmom_total_mub_per_atom": 0.024, "crystal_system": "trigonal", "total_energy_ev_per_cell": -1320.36, "lattice": [[11.2142, 0.0000, 0.0000], [5.6071, 9.7118, 0.0000], [5.6071, 3.2373, 20.7719]], "species": ["N", "Na", "Ba", "Ba", "Ba", "N", "Ba", "Ba", "Ba", "Ba", "Na", "N", "Ba", "N", "Ba", "Ba", "Ba", "Na", "Ba", "N", "Na", "Na", "N", "Ba", "Ba", "Na", "N", "N", "N", "Ba", "Ba", "Ba", "Ba", "Ba", "Na", "Na", "Ba", "Ba", "Ba", "N", "N", "Ba", "Na", "Na", "Ba", "N", "Ba", "Ca", "Ba", "Ba", "Ca", "Na", "Na", "Na", "Na", "Ba"], "fractional_positions": [[0.1744, 0.9432, 0.0706], [0.7780, 0.7780, 0.6661], [0.7692, 0.3125, 0.9482], [0.5528, 0.5528, 0.3415], [0.4701, 0.8125, 0.4482], [0.5568, 0.3256, 0.4294], [0.9472, 0.9472, 0.1585], [0.3717, 0.6555, 0.8593], [0.1875, 0.7308, 0.5518], [0.6135, 0.1555, 0.3593], [0.5457, 0.9543, 0.2500], [0.6744, 0.3118, 0.5706], [0.1135, 0.3717, 0.8593], [0.8118, 0.1744, 0.0706], [0.3125, 0.9701, 0.9482], [0.1283, 0.3865, 0.6407], [0.0528, 0.0528, 0.8415], [0.1646, 0.1646, 0.5061], [0.1555, 0.8717, 0.3593], [0.1882, 0.8256, 0.9294], [0.6646, 0.6646, 0.0061], [0.4543, 0.0457, 0.7500], [0.6882, 0.5568, 0.4294], [0.9701, 0.7692, 0.9482], [0.8445, 0.1283, 0.6407], [0.9543, 0.2500, 0.2500], [0.8256, 0.0568, 0.9294], [0.3256, 0.6882, 0.4294], [0.0568, 0.1882, 0.9294], [0.6555, 0.1135, 0.8593], [0.5299, 0.1875, 0.5518], [0.7308, 0.5299, 0.5518], [0.8865, 0.6283, 0.1407], [0.4472, 0.4472, 0.6585], [0.3354, 0.3354, 0.9939], [0.8354, 0.8354, 0.4939], [0.3445, 0.8865, 0.1407], [0.8717, 0.6135, 0.3593], [0.2692, 0.4701, 0.4482], [0.4432, 0.6744, 0.5706], [0.9432, 0.8118, 0.0706], [0.3865, 0.8445, 0.6407], [0.2220, 0.2220, 0.3339], [0.0457, 0.7500, 0.7500], [0.6283, 0.3445, 0.1407], [0.3118, 0.4432, 0.5706], [0.8125, 0.2692, 0.4482], [0.0000, 0.0000, 0.0000], [0.2308, 0.6875, 0.0518], [0.0299, 0.2308, 0.0518], [0.5000, 0.5000, 0.5000], [0.2500, 0.5457, 0.2500], [0.7220, 0.7220, 0.8339], [0.2780, 0.2780, 0.1661], [0.7500, 0.4543, 0.7500], [0.6875, 0.0299, 0.0518]]}

{"formula": "BaCaNO2", "functional": "meta-GGA SCAN", "state": "PBEsol geometry", "formation_energy_uncorrected_kj_per_mol_atoms": -34.2, "magmom_total_mub_per_atom": 0.001, "crystal_system": "tetragonal", "total_energy_ev_per_cell": -72.74, "lattice": [[-0.3530, -1.2559, -4.3123], [3.8702, -2.2801, 0.3472], [-2.2525, -3.6341, 1.2427]], "species": ["N", "O", "Ca", "O", "Ba"], "fractional_positions": [[0.0000, 0.0000, 0.5000], [0.5000, 0.0000, 0.0000], [0.5000, 0.5000, 0.5000], [0.0000, 0.5000, 0.0000], [0.0000, 0.0000, 0.0000]]}

{"formula": "Ba2Na2Ca", "functional": "meta-GGA SCAN", "state": "PBEsol geometry", "ef_ev_per_atom": 0.04, "magmom_total_mub_per_atom": 0.002, "crystal_system": "tetragonal", "total_energy_ev_per_cell": -193.95, "lattice": [[5.1598, 0.0000, 0.0000], [0.0000, 9.5670, 0.0000], [0.0000, 0.0000, 9.5670]], "species": ["Ca", "Na", "Ba", "Ba", "Na", "Ca", "Na", "Na", "Ba", "Ba"], "fractional_positions": [[0.0000, 0.0000, 0.0000], [0.0000, 0.8772, 0.6228], [0.5000, 0.3215, 0.1785], [0.5000, 0.1785, 0.6785], [0.0000, 0.3772, 0.8772], [0.0000, 0.5000, 0.5000], [0.0000, 0.6228, 0.1228], [0.0000, 0.1228, 0.3772], [0.5000, 0.6785, 0.8215], [0.5000, 0.8215, 0.3215]]}

{"formula": "Ba2NaCa", "functional": "meta-GGA SCAN", "state": "PBEsol geometry", "ef_ev_per_atom": 0.07, "magmom_total_mub_per_atom": 0.193, "crystal_system": "cubic", "total_energy_ev_per_cell": -92.70, "lattice": [[-2.5412, -5.4246, 2.7412], [1.8371, -1.7952, 6.0663], [-4.2400, 0.5203, 5.0150]], "species": ["Ca", "Na", "Ba", "Ba"], "fractional_positions": [[0.5000, 0.5000, 0.5000], [0.0000, 0.0000, 0.0000], [0.7500, 0.7500, 0.7500], [0.2500, 0.2500, 0.2500]]}

{"formula": "Ba5Ca2Nb3O15", "functional": "meta-GGA SCAN", "state": "PBEsol geometry", "formation_energy_uncorrected_kj_per_mol_atoms": -295.4, "magmom_total_mub_per_atom": 0.045, "crystal_system": "tetragonal", "total_energy_ev_per_cell": -972.96, "lattice": [[8.3936, 0.0000, 0.0000], [4.1968, 9.4675, 0.0000], [4.1968, 0.0000, 9.4675]], "species": ["Nb", "O", "Ca", "O", "Ba", "Ba", "Nb", "O", "Ba", "O", "Nb", "O", "O", "O", "O", "O", "O", "Ba", "Ca", "Ba", "Nb", "O", "Ba", "O", "O", "O", "O", "O", "O", "Nb", "O", "Ca", "Ba", "Ba", "O", "Ca", "O", "Nb", "Ba", "O", "Ba", "O", "O", "O", "O", "O", "O", "O", "O", "O"], "fractional_positions": [[0.3041, 0.5961, 0.7957], [0.1406, 0.3007, 0.4180], [0.7981, 0.6008, 0.8030], [0.5229, 0.6177, 0.8033], [0.2500, 0.5000, 0.5000], [0.9526, 0.9021, 0.7021], [0.5000, 0.0000, 0.0000], [0.2475, 0.5163, 0.9886], [0.8547, 0.7021, 0.0979], [0.7639, 0.9886, 0.4837], [0.6959, 0.4039, 0.2043], [0.9552, 0.3829, 0.7067], [0.6737, 0.8033, 0.3823], [0.9526, 0.9060, 0.1889], [0.7531, 0.0000, 0.0000], [0.3629, 0.1889, 0.0854], [0.5586, 0.5820, 0.3007], [0.7500, 0.5000, 0.5000], [0.3989, 0.8030, 0.3992], [0.3453, 0.7021, 0.0979], [0.0000, 0.0000, 0.0000], [0.9440, 0.3823, 0.1967], [0.6547, 0.2979, 0.9021], [0.6619, 0.2933, 0.3829], [0.1414, 0.8111, 0.9060], [0.4771, 0.3823, 0.1967], [0.8594, 0.1967, 0.6177], [0.3263, 0.1967, 0.6177], [0.2469, 0.0000, 0.0000], [0.9002, 0.7957, 0.4039], [0.7525, 0.4837, 0.0114], [0.2019, 0.3992, 0.1970], [0.4432, 0.9021, 0.7021], [0.5568, 0.0979, 0.2979], [0.1406, 0.8033, 0.3823], [0.6011, 0.1970, 0.6008], [0.4414, 0.4180, 0.6993], [0.0998, 0.2043, 0.5961], [0.1453, 0.2979, 0.9021], [0.8586, 0.1889, 0.0940], [0.0474, 0.0979, 0.2979], [0.3381, 0.7067, 0.6171], [0.0474, 0.0940, 0.8111], [0.6371, 0.8111, 0.9146], [0.8594, 0.6993, 0.5820], [0.0560, 0.6177, 0.8033], [0.4483, 0.9146, 0.1889], [0.5517, 0.0854, 0.8111], [0.2361, 0.0114, 0.5163], [0.0448, 0.6171, 0.2933]]}

{"formula": "Ba8Ca3Nb5O24", "functional": "meta-GGA SCAN", "state": "PBEsol geometry", "formation_energy_uncorrected_kj_per_mol_atoms": -298.1, "magmom_total_mub_per_atom": 0.031, "crystal_system": "tetragonal", "total_energy_ev_per_cell": -784.16, "lattice": [[8.3839, 0.0000, 0.0000], [0.0000, 8.3839, 0.0000], [-4.1919, -4.1919, 8.4961]], "species": ["O", "Ba", "O", "O", "O", "O", "O", "Ba", "O", "Ca", "Ba", "O", "Ba", "O", "O", "O", "O", "Ba", "O", "Ca", "O", "O", "O", "Nb", "Nb", "O", "Ba", "Ba", "Nb", "O", "Nb", "O", "O", "Ba", "O", "Nb", "Ca", "O", "O", "O"], "fractional_positions": [[0.5000, 0.2333, 0.0000], [0.8778, 0.3728, 0.2506], [0.6351, 0.6351, 0.2702], [0.3649, 0.3649, 0.7298], [0.7548, 0.0000, 0.0000], [0.9948, 0.7612, 0.5224], [0.1159, 0.6159, 0.2319], [0.3728, 0.3728, 0.2506], [0.3841, 0.8841, 0.7681], [0.7500, 0.2500, 0.5000], [0.8778, 0.8778, 0.2506], [0.2388, 0.4724, 0.4776], [0.1222, 0.1222, 0.7494], [0.1160, 0.1160, 0.2320], [0.8840, 0.8840, 0.7680], [0.7612, 0.9948, 0.5224], [0.5000, 0.7667, 0.0000], [0.3728, 0.8778, 0.2506], [0.2388, 0.0052, 0.4776], [0.2500, 0.7500, 0.5000], [0.2452, 0.0000, 0.0000], [0.4724, 0.2388, 0.4776], [0.5276, 0.7612, 0.5224], [0.0000, 0.0000, 0.0000], [0.5000, 0.0000, 0.0000], [0.0000, 0.2452, 0.0000], [0.6272, 0.6272, 0.7494], [0.1222, 0.6272, 0.7494], [0.0000, 0.5000, 0.0000], [0.8841, 0.3841, 0.7681], [0.7474, 0.7474, 0.4949], [0.6159, 0.1159, 0.2319], [0.7667, 0.5000, 0.0000], [0.6272, 0.1222, 0.7494], [0.0000, 0.7548, 0.0000], [0.2526, 0.2526, 0.5051], [0.5000, 0.5000, 0.0000], [0.2333, 0.5000, 0.0000], [0.7612, 0.5276, 0.5224], [0.0052, 0.2388, 0.4776]]}

{"formula": "BaCaNi", "functional": "meta-GGA SCAN", "state": "PBEsol geometry", "ef_ev_per_atom": 0.19, "magmom_total_mub_per_atom": 0.000, "crystal_system": "cubic", "total_energy_ev_per_cell": -64.82, "lattice": [[-3.2642, -3.8952, 0.3702], [1.4125, -4.2929, 2.3539], [-2.0196, -1.2109, 4.5188]], "species": ["Ni", "Ba", "Ca"], "fractional_positions": [[0.2500, 0.2500, 0.2500], [0.0000, 0.0000, 0.0000], [0.5000, 0.5000, 0.5000]]}

{"formula": "BaCa3Ni", "functional": "meta-GGA SCAN", "state": "PBEsol geometry", "ef_ev_per_atom": 0.00, "magmom_total_mub_per_atom": 0.089, "crystal_system": "cubic", "polymorph_energy_mev_per_atom": 0.0, "total_energy_ev_per_cell": -84.73, "lattice": [[5.6084, 0.0000, 0.0000], [0.0000, 5.6084, 0.0000], [0.0000, 0.0000, 5.6084]], "species": ["Ca", "Ca", "Ca", "Ba", "Ni"], "fractional_positions": [[0.0000, 0.5000, 0.0000], [0.0000, 0.0000, 0.5000], [0.5000, 0.0000, 0.0000], [0.5000, 0.5000, 0.5000], [0.0000, 0.0000, 0.0000]]}

{"formula": "BaCa3Ni", "functional": "meta-GGA SCAN", "state": "PBEsol geometry", "ef_ev_per_atom": 1.59, "magmom_total_mub_per_atom": 0.193, "crystal_system": "cubic", "polymorph_energy_mev_per_atom": 1592.4, "total_energy_ev_per_cell": -76.76, "lattice": [[5.6000, 0.0000, 0.0000], [0.0000, 5.6000, 0.0000], [0.0000, 0.0000, 5.6000]], "species": ["Ca", "Ni", "Ba", "Ca", "Ca"], "fractional_positions": [[0.0000, 0.5000, 0.0000], [0.5000, 0.5000, 0.5000], [0.0000, 0.0000, 0.0000], [0.0000, 0.0000, 0.5000], [0.5000, 0.0000, 0.0000]]}

{"formula": "BaCaNi2", "functional": "meta-GGA SCAN", "state": "PBEsol geometry", "ef_ev_per_atom": 0.57, "magmom_total_mub_per_atom": 0.000, "crystal_system": "cubic", "total_energy_ev_per_cell": -79.27, "lattice": [[4.8451, 0.0000, 0.0000], [2.4225, 4.1959, 0.0000], [2.4225, 1.3986, 3.9560]], "species": ["Ni", "Ba", "Ca", "Ni"], "fractional_positions": [[0.0000, 0.0000, 0.0000], [0.5000, 0.5000, 0.5000], [0.2500, 0.2500, 0.2500], [0.7500, 0.7500, 0.7500]]}